Compound: LaReWF2
Source: Alexandria
Functional: GGA+U
Structure: optimized geometry

Geometry as POSCAR:
```
LaReWF2
1.0
4.2870 0.0000 0.0000
0.0000 4.2870 0.0000
0.0000 0.0000 5.9520
La Re F W
1 1 2 1
Direct
0.0000 0.0000 0.5000 La
0.0000 0.0000 0.0000 Re
0.0000 0.5000 0.0000 F
0.5000 0.0000 0.0000 F
0.5000 0.5000 0.5000 W
```

## Properties
The size of the total moment is 3.1 μB/cell. The calculation puts the total energy at -5.375 eV/atom.